Entry 1:
# Sr2CaRh2

Sr2CaRh2 at its PBEsol-relaxed geometry (meta-GGA SCAN, Alexandria via LeMat-Bulk).

a b c (Å): 6.3267 6.3267 6.3267
angles (deg): 132.11 132.11 70.05
With the nearest neighbours (Å) after each atom.
Sites, in units of the cell vectors:
Sr 0.1531 0.1531 0.0000  4 Rh 2.76
Sr 0.8469 0.8469 0.0000  4 Rh 2.76
Ca 0.5000 0.5000 0.0000  10 Sr 3.59-3.96, 8 Rh 3.65
Rh 0.2500 0.7500 0.5000  4 Sr 2.76
Rh 0.7500 0.2500 0.5000  4 Sr 2.76

Computed properties:
- total magnetization (μB/f.u.) = 0.0
- space group = I4/mmm
- total energy (eV per formula unit) = -120.684
- density of states at the Fermi level (states/eV per atom) = 0.561

=====

Entry 2:
# Sr2CaRh

Sr2CaRh at its PBEsol-relaxed geometry (meta-GGA SCAN, Alexandria via LeMat-Bulk).

a b c (Å): 4.9734 4.9734 4.7144
angles (deg): 90.00 90.00 90.00
With the nearest neighbours (Å) after each atom.
Sites, in units of the cell vectors:
Sr 0.0000 0.5000 0.0000  4 Ca 3.43, 4 Rh 3.43, 4 Sr 3.52
Sr 0.5000 0.0000 0.0000  4 Ca 3.43, 4 Rh 3.43, 4 Sr 3.52
Ca 0.0000 0.0000 0.5000  8 Sr 3.43, 4 Rh 3.52
Rh 0.5000 0.5000 0.5000  8 Sr 3.43, 4 Ca 3.52

Computed properties:
- total magnetization (μB/f.u.) = 0.0
- space group = P4/mmm
- total energy (eV per formula unit) = -87.322
- density of states at the Fermi level (states/eV per atom) = 0.930

=====

Entry 3:
# SrCaRh

SrCaRh at its PBEsol-relaxed geometry (meta-GGA SCAN, Alexandria via LeMat-Bulk).

a b c (Å): 7.2831 7.2831 7.2831
angles (deg): 151.97 151.97 40.05
With the nearest neighbours (Å) after each atom.
Sites, in units of the cell vectors:
Sr 0.0000 0.0000 0.0000  4 Rh 3.07, 1 Ca 3.33
Ca 0.2436 0.2436 0.0000  4 Rh 2.93
Rh 0.6307 0.6307 0.0000  4 Ca 2.93, 4 Sr 3.07

Computed properties:
- total magnetization (μB/f.u.) = 0.0
- space group = I4mm
- energy above the lowest structure with this stoichiometry (meV/atom) = 0
- total energy (eV per formula unit) = -66.391
- density of states at the Fermi level (states/eV per atom) = 0.565

=====

Entry 4:
# Sr2CaTaRh

Sr2CaTaRh at its PBEsol-relaxed geometry (meta-GGA SCAN, Alexandria via LeMat-Bulk).

a b c (Å): 5.5999 5.5999 5.3609
angles (deg): 90.00 90.00 90.00
With the nearest neighbours (Å) after each atom.
Sites, in units of the cell vectors:
Sr 0.0000 0.5000 0.0000  2 Ta 2.80
Sr 0.5000 0.0000 0.0000  2 Ta 2.80
Ca 0.0000 0.0000 0.5000  2 Ta 2.68
Ta 0.0000 0.0000 0.0000  2 Ca 2.68, 4 Sr 2.80
Rh 0.5000 0.5000 0.5000  8 Sr 3.88, 4 Ca 3.96

Computed properties:
- total magnetization (μB/f.u.) = 2.5
- space group = P4/mmm
- total energy (eV per formula unit) = -146.652
- density of states at the Fermi level (states/eV per atom) = 0.845

=====

Entry 5:
# Ca2TaRh

Ca2TaRh at its PBEsol-relaxed geometry (meta-GGA SCAN, Alexandria via LeMat-Bulk).

a b c (Å): 3.9761 3.9761 5.0468
angles (deg): 90.00 90.00 90.00
With the nearest neighbours (Å) after each atom.
Sites, in units of the cell vectors:
Ca 0.0000 0.5000 0.0000  4 Ca 2.81
Ca 0.5000 0.0000 0.0000  4 Ca 2.81
Ta 0.0000 0.0000 0.5000  4 Rh 2.81
Rh 0.5000 0.5000 0.5000  4 Ta 2.81

Computed properties:
- total magnetization (μB/f.u.) = 0.0
- space group = P4/mmm
- energy above the lowest structure with this stoichiometry (meV/atom) = 487
- total energy (eV per formula unit) = -118.026
- density of states at the Fermi level (states/eV per atom) = 0.760

=====

Entry 6:
# Ca2TaRh

Ca2TaRh at its PBEsol-relaxed geometry (meta-GGA SCAN, Alexandria via LeMat-Bulk).

a b c (Å): 3.3516 3.3516 8.9618
angles (deg): 90.00 90.00 90.00
With the nearest neighbours (Å) after each atom.
Sites, in units of the cell vectors:
Ca 0.0000 0.0000 0.0000  4 Ca 3.35, 4 Ta 3.38, 1 Rh 3.41
Ca 0.5000 0.5000 0.3756  1 Ta 3.19, 4 Rh 3.23, 4 Ca 3.35
Ta 0.5000 0.5000 0.7315  4 Rh 2.57
Rh 0.0000 0.0000 0.6197  4 Ta 2.57

Computed properties:
- total magnetization (μB/f.u.) = 0.0
- space group = P4mm
- energy above the lowest structure with this stoichiometry (meV/atom) = 0
- total energy (eV per formula unit) = -119.974
- density of states at the Fermi level (states/eV per atom) = 0.921

=====

Entry 7:
# CaTa3Rh

CaTa3Rh at its PBEsol-relaxed geometry (meta-GGA SCAN, Alexandria via LeMat-Bulk).

a b c (Å): 4.5509 4.5509 4.5509
angles (deg): 90.00 90.00 90.00
With the nearest neighbours (Å) after each atom.
Sites, in units of the cell vectors:
Ca 0.0000 0.0000 0.0000  6 Ta 2.28
Ta 0.0000 0.0000 0.5000  2 Ca 2.28
Ta 0.0000 0.5000 0.0000  2 Ca 2.28
Ta 0.5000 0.0000 0.0000  2 Ca 2.28
Rh 0.5000 0.5000 0.5000  12 Ta 3.22

Computed properties:
- total magnetization (μB/f.u.) = 0.0
- space group = Pm-3m
- total energy (eV per formula unit) = -229.335
- density of states at the Fermi level (states/eV per atom) = 1.614

=====

Entry 8:
# CaTa2Rh

CaTa2Rh at its PBEsol-relaxed geometry (meta-GGA SCAN, Alexandria via LeMat-Bulk).

a b c (Å): 3.0639 3.0639 8.3363
angles (deg): 90.00 90.00 90.00
With the nearest neighbours (Å) after each atom.
Sites, in units of the cell vectors:
Ca 0.0000 0.0000 0.0000  4 Ca 3.06, 4 Rh 3.08
Ta 0.0000 0.0000 0.4377  4 Rh 2.61, 4 Ta 2.90
Ta 0.5000 0.5000 0.6693  8 Ta 2.90-3.06
Rh 0.5000 0.5000 0.2626  4 Ta 2.61

Computed properties:
- total magnetization (μB/f.u.) = 0.6
- space group = P4mm
- total energy (eV per formula unit) = -176.696
- density of states at the Fermi level (states/eV per atom) = 0.733

=====

Among the records above, which one has the highest density of states at the Fermi level?
CaTa3Rh